CoRuO: optimized geometry, PBE with a Hubbard U.

Geometry as CIF:
```
data_CoRuO
_space_group_name_H-M_alt 'P 1'
_space_group_IT_number 1
_space_group_name_Hall 'P 1'
_cell_length_a 2.765
_cell_length_b 2.816
_cell_length_c 4.652
_cell_angle_alpha 90.00
_cell_angle_beta 90.00
_cell_angle_gamma 90.00
loop_
_atom_site_label
_atom_site_type_symbol
_atom_site_fract_x
_atom_site_fract_y
_atom_site_fract_z
Co1 Co 0.000 0.000 0.114
Ru1 Ru 0.500 0.500 0.739
O1 O 0.500 0.000 0.425
```

Properties
Its energy above the most stable polymorph in this dataset is 5.55 kJ/mol of atoms. For the density, the calculation gives 8.067 g cm⁻³.